(1)
NiB3Pb after structural relaxation. Source: Alexandria via LeMat-Bulk, functional GGA-PBEsol.

abc: 3.9725 3.9725 3.9725
angles: 90.00 90.00 90.00
Positions (direct):
Pb  0.5000  0.5000  0.5000
Ni  0.0000  0.0000  0.0000
B  0.0000  0.5000  0.0000
B  0.0000  0.0000  0.5000
B  0.5000  0.0000  0.0000

Properties
SG: Pm-3m (221)
Calculated volume: 62.69 Å³/cell
ΔE_f: 1.16 eV/atom



(2)
NiB2TePb after structural relaxation. Source: Alexandria via LeMat-Bulk, functional GGA-PBEsol.

abc: 4.3849 4.3849 6.0370
angles: 90.00 90.00 90.00
Positions (direct):
Pb  0.0000  0.0000  0.0000
Ni  0.5000  0.5000  0.5000
B  0.0000  0.5000  0.0000
B  0.5000  0.0000  0.0000
Te  0.0000  0.0000  0.5000

Properties
SG: P4/mmm (123)
Calculated volume: 116.07 Å³/cell
Formation energy without anion corrections: 2.236 eV per atom



(3)
Ni2B2Pd after structural relaxation. Source: Alexandria via LeMat-Bulk, functional GGA-PBEsol.

abc: 2.7361 2.7361 6.7470
angles: 101.70 101.70 90.00
Positions (direct):
Ni  0.3622  0.3622  0.7245
Ni  0.6378  0.6378  0.2755
B  0.2500  0.7500  0.5000
B  0.7500  0.2500  0.5000
Pd  0.0000  0.0000  0.0000

Properties
SG: I4/mmm (139)
Calculated volume: 48.39 Å³/cell
ΔE_f: -0.09 eV/atom